1.
Density functional theory data (PBE) for a geometry-optimized HfRhIO2 structure.

Cell lengths 3.9976, 3.9976, 6.2204 Å; angles 90.00, 90.00, 90.00 degrees
Positions (direct):
1 Hf 0.0000 0.0000 0.0000
2 Rh 0.5000 0.5000 0.5000
3 I 0.0000 0.0000 0.5000
4 O 0.0000 0.5000 0.0000
5 O 0.5000 0.0000 0.0000

Results
- Space group: P4/mmm, No. 123
- E above lowest polymorph: 0.00 eV/f.u.
- Uncorrected formation energy: -1.245 eV/atom
- Energy: -6.9990 eV/atom

2.
Density functional theory data (PBE) for a geometry-optimized Na2LiAl3Au12 structure.

Cell lengths 7.7860, 7.7860, 7.7860 Å; angles 67.59, 67.59, 67.59 degrees
Positions (direct):
1 Na 0.0976 0.0976 0.0976
2 Na 0.9024 0.9024 0.9024
3 Li 0.5000 0.5000 0.5000
4 Al 0.0000 0.5000 0.5000
5 Al 0.5000 0.0000 0.5000
6 Al 0.5000 0.5000 0.0000
7 Au 0.1278 0.6458 0.6458
8 Au 0.1360 0.1360 0.5937
9 Au 0.1360 0.5937 0.1360
10 Au 0.3542 0.3542 0.8722
11 Au 0.3542 0.8722 0.3542
12 Au 0.4063 0.8640 0.8640
13 Au 0.5937 0.1360 0.1360
14 Au 0.6458 0.1278 0.6458
15 Au 0.6458 0.6458 0.1278
16 Au 0.8640 0.4063 0.8640
17 Au 0.8640 0.8640 0.4063
18 Au 0.8722 0.3542 0.3542

Results
- Space group: R-3m, No. 166
- Energy: -3.1834 eV/atom

3.
Density functional theory data (PBE) for a geometry-optimized ScAu5 structure.

Cell lengths 5.0877, 5.0877, 4.9184 Å; angles 90.00, 90.00, 120.00 degrees
Positions (direct):
1 Sc 0.0000 0.0000 0.0000
2 Au 0.0000 0.6726 0.5000
3 Au 0.3274 0.3274 0.5000
4 Au 0.3333 0.6667 0.0000
5 Au 0.6667 0.3333 0.0000
6 Au 0.6726 0.0000 0.5000

Results
- Space group: P-62m, No. 189
- Energy: -4.1811 eV/atom

4.
Density functional theory data (PBE) for a geometry-optimized CaSiP2N6 structure.

Cell lengths 7.0562, 7.0562, 5.4643 Å; angles 106.20, 106.20, 90.98 degrees
Positions (direct):
1 Ca 0.1187 0.8813 0.7500
2 Ca 0.8813 0.1187 0.2500
3 Si 0.2299 0.7701 0.2500
4 Si 0.7701 0.2299 0.7500
5 P 0.2192 0.3767 0.8244
6 P 0.3767 0.2192 0.3244
7 P 0.6233 0.7808 0.6756
8 P 0.7808 0.6233 0.1756
9 N 0.0066 0.2443 0.7176
10 N 0.2183 0.6106 0.9506
11 N 0.2443 0.0066 0.2176
12 N 0.2748 0.3503 0.5445
13 N 0.3503 0.2748 0.0445
14 N 0.3894 0.7817 0.5494
15 N 0.6106 0.2183 0.4506
16 N 0.6497 0.7252 0.9555
17 N 0.7252 0.6497 0.4555
18 N 0.7557 0.9934 0.7824
19 N 0.7817 0.3894 0.0494
20 N 0.9934 0.7557 0.2824

Results
- Space group: C2/c, No. 15
- Uncorrected formation energy: -0.458 eV/atom
- Energy: -7.2781 eV/atom

5.
Density functional theory data (PBE) for a geometry-optimized KSiS3 structure.

Cell lengths 5.4088, 5.4088, 5.4088 Å; angles 90.00, 90.00, 90.00 degrees
Positions (direct):
1 K 0.0000 0.0000 0.0000
2 Si 0.5000 0.5000 0.5000
3 S 0.0000 0.0000 0.5000
4 S 0.0000 0.5000 0.0000
5 S 0.5000 0.0000 0.0000

Results
- Space group: Pm-3m, No. 221
- Uncorrected formation energy: 1.451 eV/atom
- Energy: -2.3293 eV/atom

6.
Density functional theory data (PBE) for a geometry-optimized Dy4Er3In4 structure.

Cell lengths 10.6530, 10.6530, 10.6530 Å; angles 160.53, 127.68, 56.35 degrees
Positions (direct):
1 Dy 0.0239 0.8380 0.1859
2 Dy 0.3479 0.1620 0.1859
3 Dy 0.6521 0.8380 0.8141
4 Dy 0.9761 0.1620 0.8141
5 Er 0.0000 0.5000 0.5000
6 Er 0.4038 0.4038 0.0000
7 Er 0.5962 0.5962 0.0000
8 In 0.2697 0.7697 0.5000
9 In 0.2816 0.0000 0.2816
10 In 0.7184 0.0000 0.7184
11 In 0.7303 0.2303 0.5000

Results
- Space group: Immm, No. 71
- Energy: -4.2016 eV/atom